Material: TbHo2Pb3
Method: DFT, PBE
State: optimized geometry

## Properties
**Formation enthalpy at 0 K**: -492.3 meV/atom
**Space group**: C2/c (15)
**Total moment**: 0.00 μB/f.u.

Lattice parameters (Å, degrees): 6.3960 6.3973 9.0359 110.73 100.14 90.00
Last column: nearest neighbours and their distance in Å.
Fractional positions:
Tb 0.7500 0.1259 0.0000  6 Pb 3.19-3.57, 2 Ho 3.57
Tb 0.2500 0.8741 0.0000  6 Pb 3.19-3.57, 2 Ho 3.57
Ho 0.5822 0.5419 0.3332  6 Pb 3.19-3.57, 1 Ho 3.57
Ho 0.0822 0.7913 0.3332  6 Pb 3.19-3.57, 1 Ho 3.57
Ho 0.9178 0.2087 0.6668  6 Pb 3.19-3.57, 1 Ho 3.57
Ho 0.4178 0.4581 0.6668  6 Pb 3.19-3.57, 1 Ho 3.57
Pb 0.2500 0.3749 0.0000  4 Ho 3.19-3.57, 4 Tb 3.19-3.57
Pb 0.7500 0.6251 0.0000  4 Ho 3.19-3.57, 4 Tb 3.19-3.57
Pb 0.0843 0.2916 0.3346  5 Ho 3.19-3.57, 1 Tb 3.21, 3 Pb 3.56-3.57
Pb 0.4157 0.9570 0.6654  5 Ho 3.19-3.57, 1 Tb 3.21, 3 Pb 3.56-3.57
Pb 0.5843 0.0430 0.3346  5 Ho 3.19-3.57, 1 Tb 3.21, 3 Pb 3.56-3.57
Pb 0.9157 0.7084 0.6654  5 Ho 3.19-3.57, 1 Tb 3.21, 3 Pb 3.56-3.57

=====

Material: Ba2CaSn3Rh4
Method: DFT, PBE
State: optimized geometry

## Properties
**Formation enthalpy at 0 K**: -579.2 meV/atom
**Space group**: P-4m2 (115)
**Total moment**: 0.00 μB/f.u.

Lattice parameters (Å, degrees): 4.5897 4.5897 11.5258 90.00 90.00 90.00
Last column: nearest neighbours and their distance in Å.
Fractional positions:
Ba 0.5000 0.0000 0.2426  8 Rh 3.51-3.62, 6 Sn 3.55-3.75, 2 Ca 3.75
Ba 0.0000 0.5000 0.7574  8 Rh 3.51-3.62, 6 Sn 3.55-3.75, 2 Ca 3.75
Ca 0.5000 0.5000 0.5000  4 Rh 2.82
Sn 0.0000 0.0000 0.5000  4 Rh 2.82
Sn 0.5000 0.0000 0.8814  5 Rh 2.67-2.76
Sn 0.0000 0.5000 0.1186  5 Rh 2.67-2.76
Rh 0.5000 0.5000 0.0000  4 Sn 2.67
Rh 0.0000 0.0000 0.0000  4 Sn 2.67
Rh 0.5000 0.0000 0.6420  3 Sn 2.76-2.82, 2 Ca 2.82
Rh 0.0000 0.5000 0.3580  3 Sn 2.76-2.82, 2 Ca 2.82

=====

Material: Li2LaZr
Method: DFT, PBE
State: optimized geometry

## Properties
**Formation enthalpy at 0 K**: 339.6 meV/atom
**Space group**: I4/mmm (139)
**Distance to the lowest polymorph of the same formula**: 0.74 eV/f.u.
**Total moment**: 0.00 μB/f.u.

Lattice parameters (Å, degrees): 5.6354 5.6354 5.6354 132.19 132.19 69.93
Last column: nearest neighbours and their distance in Å.
Fractional positions:
La 0.7500 0.2500 0.5000  4 Zr 3.23, 8 Li 3.25
Li 0.0000 0.0000 0.0000  4 Li 3.23, 4 Zr 3.25, 4 La 3.25
Li 0.5000 0.5000 0.0000  4 Li 3.23, 4 La 3.25, 4 Zr 3.25
Zr 0.2500 0.7500 0.5000  4 La 3.23, 8 Li 3.25

=====

Material: InRu2Rh
Method: DFT, PBE
State: optimized geometry

## Properties
**Formation enthalpy at 0 K**: 205.5 meV/atom
**Space group**: Pmmm (47)
**Total moment**: 0.00 μB/f.u.

Lattice parameters (Å, degrees): 2.8057 3.8571 5.7802 90.00 90.00 90.00
Last column: nearest neighbours and their distance in Å.
Fractional positions:
In 0.5000 0.5000 0.2500  2 In 2.81, 8 Ru 2.87, 2 Rh 2.89
Rh 0.5000 0.5000 0.7500  8 Ru 2.72, 2 Rh 2.81, 2 In 2.89
Ru 0.0000 0.0000 0.9749  3 Ru 2.60-2.81, 4 Rh 2.72, 4 In 2.87
Ru 0.0000 0.0000 0.5251  3 Ru 2.60-2.81, 4 Rh 2.72, 4 In 2.87

=====

- Among the records above, which one has the highest formation enthalpy at 0 K?
  Li2LaZr